DFT (GGA-PBE) results for a relaxed KB2H6 crystal.

Cell: 4.811 4.811 4.811 Å, 60.00 60.00 60.00°
Element x y z (fractional)
K  0.000  0.000  0.000
B  0.250  0.250  0.250
B  0.750  0.750  0.750
H  0.364  0.364  0.636
H  0.364  0.636  0.364
H  0.364  0.636  0.636
H  0.636  0.364  0.364
H  0.636  0.364  0.636
H  0.636  0.636  0.364

Space-group type = Fm-3m
DOS(E_F) = 0.24 states/eV/atom
Energy above the most stable polymorph in this dataset = 1708 meV/atom